DFT (PBE-GGA) results for an optimized crystal structure of Tl2In2F.

Calculated values
* density: 7.85 Mg/m³
* uncorrected formation energy: -0.49 eV per atom
* DOS at the Fermi energy: 0.569 states/eV per atom
* space-group type: P4/mbm
* energy above the lowest structure with this stoichiometry: 0.037 eV per atom

Unit cell a=7.052 b=7.052 c=5.591 alpha=90.00 beta=90.00 gamma=90.00
Fractional positions:
Tl  0.327  0.827  0.000
Tl  0.827  0.673  0.000
Tl  0.673  0.173  0.000
Tl  0.173  0.327  0.000
F  0.000  0.000  0.000
F  0.500  0.500  0.000
In  0.159  0.659  0.500
In  0.659  0.841  0.500
In  0.841  0.341  0.500
In  0.341  0.159  0.500